Record 1
Density functional theory data (GGA-PBEsol) for a relaxed MgOsW2 crystal.

Cell and atoms, written as POSCAR:
```
MgOsW2
1.0
3.071 0.000 0.000
0.000 4.534 0.000
-1.535 -2.267 4.441
Mg Os W
1 1 2
Direct
0.505 0.505 0.009
0.260 0.760 0.520
0.999 0.999 0.998
0.736 0.236 0.472
```

Output
**Fermi-level density of states**: 0.719 states/eV per atom
**Symmetry**: Imm2 (44)
**Spin magnetization**: 0.0 Bohr magnetons per cell
**E_form**: 0.342 eV/atom

Record 2
Density functional theory data (GGA-PBEsol) for a relaxed Ca2MgCr crystal.

Cell and atoms, written as POSCAR:
```
Ca2MgCr
1.0
3.750 0.000 -0.026
0.000 5.032 0.000
-1.822 0.000 6.204
Ca Cr Mg
2 1 1
Direct
0.032 0.000 0.941
0.719 0.500 0.312
0.312 0.000 0.496
0.437 0.500 0.751
```

Output
**Fermi-level density of states**: 0.838 states/eV per atom
**Symmetry**: Pm (6)
**Spin magnetization**: 4.7 Bohr magnetons per cell
**E_form**: 0.422 eV/atom

Record 3
Density functional theory data (GGA-PBEsol) for a relaxed Cu2SnTe3 crystal.

Cell and atoms, written as POSCAR:
```
Cu2SnTe3
1.0
-3.978 4.331 -4.526
-2.278 -1.147 6.968
5.768 4.526 1.304
Cu Sn Te
4 2 6
Direct
0.153 0.988 0.995
0.838 0.334 0.997
0.988 0.153 0.495
0.334 0.838 0.497
0.501 0.681 0.013
0.681 0.501 0.513
0.532 0.337 0.106
0.905 0.073 0.135
0.073 0.905 0.635
0.181 0.711 0.137
0.337 0.532 0.606
0.711 0.181 0.637
```

Output
**ΔE_f (raw)**: -8 kJ/mol of atoms
**Fermi-level density of states**: 0.141 states/eV per atom
**Symmetry**: Cc (9)
**Spin magnetization**: 0.0 Bohr magnetons per cell

Record 4
Density functional theory data (GGA-PBEsol) for a relaxed Sc2Ga2Ag crystal.

Cell and atoms, written as POSCAR:
```
Sc2Ga2Ag
1.0
4.066 0.000 0.000
0.000 6.705 0.000
0.000 0.000 6.705
Sc Ga Ag
4 4 2
Direct
0.500 0.168 0.668
0.500 0.668 0.832
0.500 0.832 0.332
0.500 0.332 0.168
0.000 0.367 0.867
0.000 0.867 0.633
0.000 0.633 0.133
0.000 0.133 0.367
0.000 0.000 0.000
0.000 0.500 0.500
```

Output
**Fermi-level density of states**: 0.654 states/eV per atom
**Symmetry**: P4/mbm (127)
**Spin magnetization**: 0.0 Bohr magnetons per cell
**E_form**: -0.570 eV/atom

Record 5
Density functional theory data (GGA-PBEsol) for a relaxed BeOs crystal.

Cell and atoms, written as POSCAR:
```
BeOs
1.0
-2.670 0.166 0.388
1.028 -2.016 -1.480
0.306 -2.024 2.969
Be Os
1 1
Direct
0.000 0.000 0.000
0.333 0.667 0.500
```

Output
**Fermi-level density of states**: 0.692 states/eV per atom
**Symmetry**: P-6m2 (187)
**Spin magnetization**: 0.0 Bohr magnetons per cell
**E_form**: 0.026 eV/atom

Record 6
Density functional theory data (GGA-PBEsol) for a relaxed NiAuBr2 crystal.

Cell and atoms, written as POSCAR:
```
NiAuBr2
1.0
3.630 0.000 0.000
1.815 3.144 0.000
1.815 1.048 7.672
Ni Au Br
1 1 2
Direct
0.500 0.500 0.500
0.000 0.000 0.000
0.893 0.893 0.321
0.107 0.107 0.679
```

Output
**ΔE_f (raw)**: 12 kJ/mol of atoms
**Fermi-level density of states**: 0.698 states/eV per atom
**Symmetry**: R-3m (166)
**Spin magnetization**: 1.0 Bohr magnetons per cell